No. 1
Compound: Cu2ReW
Source: the Alexandria database
Functional: PBEsol
Structure: optimized geometry

## Properties
As for the symmetry: F-43m, No. 216.

POSCAR file:
```
Cu2ReW
1.0
4.259 0.000 0.000
2.130 3.688 0.000
2.130 1.229 3.478
Re Cu W
1 2 1
Cartesian
4.259 2.459 1.739
6.389 3.688 2.608
0.000 0.000 0.000
2.130 1.229 0.869
```

=====

No. 2
Compound: Cu2ReW
Source: the Alexandria database
Functional: PBEsol
Structure: optimized geometry

## Properties
As for the symmetry: R3m, No. 160.

POSCAR file:
```
Cu2ReW
1.0
2.683 0.000 0.000
1.341 2.324 0.000
1.341 0.775 8.765
Re Cu W
1 2 1
Cartesian
2.683 1.549 4.480
1.341 0.775 8.657
4.024 2.324 6.656
1.341 0.775 2.120
```

=====

No. 3
Compound: CuReW
Source: the Alexandria database
Functional: PBEsol
Structure: optimized geometry

## Properties
As for the symmetry: I4mm, No. 107.

POSCAR file:
```
CuReW
1.0
-1.325 2.931 0.143
-2.368 -0.975 -1.953
-0.351 -2.130 4.145
Cu W Re
1 1 1
Cartesian
-0.001 -0.001 0.002
-2.587 0.590 0.187
-1.455 -0.763 2.146
```

=====

No. 4
Compound: Cu2ReW
Source: the Alexandria database
Functional: PBEsol
Structure: optimized geometry

## Properties
As for the symmetry: I4/mmm, No. 139.

POSCAR file:
```
Cu2ReW
1.0
-0.776 -3.022 1.911
1.196 -2.062 -2.775
3.454 2.581 1.982
Cu W Re
2 1 1
Cartesian
2.430 -1.012 -0.613
1.444 -1.492 1.730
0.000 0.000 0.000
0.210 -2.542 -0.432
```

=====

No. 5
Compound: Y2CuRe
Source: the Alexandria database
Functional: PBEsol
Structure: optimized geometry

## Properties
As for the symmetry: R-3m, No. 166.

POSCAR file:
```
Y2CuRe
1.0
-0.302 -3.339 -0.038
2.729 -1.927 -0.281
1.567 -1.921 8.392
Y Re Cu
2 1 1
Cartesian
3.001 -5.391 6.110
0.994 -1.796 1.963
0.000 0.000 0.000
1.997 -3.593 4.037
```

=====

No. 6
Compound: Zn2CuRe
Source: the Alexandria database
Functional: PBEsol
Structure: optimized geometry

## Properties
As for the symmetry: P4mm, No. 99.

POSCAR file:
```
Zn2CuRe
1.0
-0.976 0.604 2.347
-0.787 -2.472 0.308
6.813 -1.758 3.286
Zn Cu Re
2 1 1
Cartesian
0.023 -0.006 0.011
0.894 -1.393 2.184
3.364 -0.868 1.623
4.174 -2.239 3.766
```

=====

No. 7
Compound: ZnCuRe
Source: the Alexandria database
Functional: PBEsol
Structure: optimized geometry

## Properties
As for the symmetry: F-43m, No. 216.

POSCAR file:
```
ZnCuRe
1.0
4.096 0.000 0.000
2.048 3.547 0.000
2.048 1.182 3.344
Cu Re Zn
1 1 1
Cartesian
4.096 2.365 1.672
2.048 1.182 0.836
0.000 0.000 0.000
```

=====

No. 8
Compound: ZnCu2Re
Source: the Alexandria database
Functional: PBEsol
Structure: optimized geometry

## Properties
As for the symmetry: Pmm2, No. 25.

POSCAR file:
```
ZnCu2Re
1.0
-1.981 -1.232 1.137
2.291 -1.873 1.963
-0.171 3.864 3.887
Cu Zn Re
2 1 1
Cartesian
0.000 0.010 0.010
0.114 -0.634 2.473
0.024 1.415 4.535
-0.084 1.900 1.911
```

=====

No. 9
Compound: ZnCuRe
Source: the Alexandria database
Functional: PBEsol
Structure: optimized geometry

## Properties
As for the symmetry: I4mm, No. 107.

POSCAR file:
```
ZnCuRe
1.0
-1.813 -1.615 0.893
1.799 -1.265 1.364
-0.934 5.020 3.434
Cu Re Zn
1 1 1
Cartesian
-0.006 0.021 0.027
-0.633 2.409 3.070
-0.310 -0.290 2.594
```

=====

No. 10
Compound: ZnCu2Re
Source: the Alexandria database
Functional: PBEsol
Structure: optimized geometry

## Properties
As for the symmetry: Cmmm, No. 65.

POSCAR file:
```
ZnCu2Re
1.0
-0.460 -1.992 1.580
1.760 -1.415 -1.257
5.390 2.505 4.726
Re Zn Cu
1 1 2
Cartesian
3.345 -0.451 2.525
0.650 -1.703 0.162
4.083 1.898 3.581
1.306 0.607 1.145
```

=====

No. 11
Compound: ZnCu2Re
Source: the Alexandria database
Functional: PBEsol
Structure: optimized geometry

## Properties
As for the symmetry: P4/mmm, No. 123.

POSCAR file:
```
ZnCu2Re
1.0
-0.980 -0.969 2.229
1.905 -3.894 -0.856
3.629 1.300 2.160
Cu Re Zn
2 1 1
Cartesian
1.814 0.650 1.080
0.952 -1.947 -0.428
2.277 -1.781 1.766
-0.490 -0.485 1.115
```

=====

No. 12
Compound: Zn2CuRe
Source: the Alexandria database
Functional: PBEsol
Structure: optimized geometry

## Properties
As for the symmetry: I-4m2, No. 119.

POSCAR file:
```
Zn2CuRe
1.0
3.644 0.000 0.000
0.000 3.644 0.000
-1.822 -1.822 3.980
Zn Re Cu
2 1 1
Cartesian
0.000 0.000 0.000
1.822 0.000 1.990
0.000 1.822 1.990
1.822 1.822 0.000
```

=====

No. 13
Compound: ZrCuRe
Source: the Alexandria database
Functional: PBEsol
Structure: optimized geometry

## Properties
As for the symmetry: Imm2, No. 44.

POSCAR file:
```
ZrCuRe
1.0
2.747 0.000 0.000
0.000 3.736 0.000
-1.374 -1.868 4.625
Re Zr Cu
1 1 1
Cartesian
1.374 1.868 1.372
0.000 0.000 3.080
0.000 0.000 0.173
```

=====

No. 14
Compound: Cu3Rh4
Source: the Alexandria database
Functional: PBEsol
Structure: optimized geometry

## Properties
As for the symmetry: I4/mmm, No. 139.

POSCAR file:
```
Cu3Rh4
1.0
-2.224 -0.694 1.291
0.284 -2.506 -0.859
7.730 -1.124 9.965
Cu Rh
3 4
Cartesian
1.973 -2.786 4.648
3.817 -1.538 5.749
0.000 0.000 0.000
1.966 -0.792 2.961
5.773 -2.326 8.696
3.824 -3.532 7.436
0.016 -1.998 1.702
```

=====

No. 15
Compound: Cu3Rh
Source: the Alexandria database
Functional: PBEsol
Structure: optimized geometry

## Properties
As for the symmetry: Pmmn, No. 59.

POSCAR file:
```
Cu3Rh
1.0
4.188 0.000 0.000
0.000 4.381 0.000
0.000 0.000 5.214
Rh Cu
2 6
Cartesian
0.000 2.945 0.000
2.094 1.437 2.607
0.000 2.972 2.607
0.000 0.746 3.909
0.000 0.746 1.305
2.094 3.635 1.302
2.094 1.410 0.000
2.094 3.635 3.911
```

=====

No. 16
Compound: Cu3Rh
Source: the Alexandria database
Functional: PBEsol
Structure: optimized geometry

## Properties
As for the symmetry: P4/mmm, No. 123.

POSCAR file:
```
Cu3Rh
1.0
-0.319 1.291 -2.577
2.464 -1.224 -0.917
-2.920 -4.472 -1.879
Cu Rh
3 1
Cartesian
-0.689 -1.055 -0.443
1.073 0.034 -1.747
-2.232 -3.418 -1.436
-0.387 -2.203 -2.687
```

=====

No. 17
Compound: Cu3Rh
Source: the Alexandria database
Functional: PBEsol
Structure: optimized geometry

## Properties
As for the symmetry: P-6m2, No. 187.

POSCAR file:
```
Cu3Rh
1.0
-0.023 -2.164 -1.401
-0.566 -0.086 2.514
-8.089 1.240 -1.780
Rh Cu
1 3
Cartesian
-4.045 0.620 -0.890
-6.514 0.161 -0.140
-2.346 -0.478 0.777
0.000 0.000 0.000
```

=====

No. 18
Compound: Cu2Rh
Source: the Alexandria database
Functional: PBEsol
Structure: optimized geometry

## Properties
As for the symmetry: Immm, No. 71.

POSCAR file:
```
Cu2Rh
1.0
-2.198 1.344 0.219
-1.814 -3.064 0.590
2.621 1.237 3.446
Rh Cu
1 2
Cartesian
-2.006 -0.860 0.405
-1.599 -0.610 2.953
0.208 0.128 1.302
```

=====

No. 19
Compound: Cu3Rh
Source: the Alexandria database
Functional: PBEsol
Structure: optimized geometry

## Properties
As for the symmetry: Pmmm, No. 47.

POSCAR file:
```
Cu3Rh
1.0
2.575 0.000 0.000
0.000 3.555 0.000
0.000 0.000 5.229
Cu Rh
3 1
Cartesian
0.000 0.000 3.877
0.000 0.000 1.352
1.288 1.777 2.614
1.288 1.777 0.000
```

=====

No. 20
Compound: Cu4Rh5
Source: the Alexandria database
Functional: PBEsol
Structure: optimized geometry

## Properties
As for the symmetry: I4/mmm, No. 139.

POSCAR file:
```
Cu4Rh5
1.0
3.707 0.000 0.000
1.854 5.552 0.000
1.854 0.000 5.552
Cu Rh
4 5
Cartesian
3.707 3.670 3.670
1.854 3.670 1.882
1.854 1.882 3.670
3.707 1.882 1.882
1.854 1.851 0.000
1.854 0.000 1.851
3.707 3.701 0.000
0.000 0.000 0.000
3.707 0.000 3.701
```

=====

| no. | energy of formation from the pure elements (eV per formula unit) | raw total energy (eV per atom) |
| --- | --- | --- |
| 1 | 1.63 | -8.5449 |
| 2 | 1.20 | -8.6528 |
| 3 | 0.72 | -10.2505 |
| 4 | 1.17 | -8.6592 |
| 5 | 1.59 | -7.4290 |
| 6 | 0.65 | -5.0447 |
| 7 | 3.63 | -5.2051 |
| 8 | 1.01 | -5.6438 |
| 9 | 0.56 | -6.2289 |
| 10 | 0.52 | -5.7649 |
| 11 | 1.23 | -5.5882 |
| 12 | 1.39 | -4.8599 |
| 13 | 0.49 | -8.7544 |
| 14 | 0.44 | -6.4450 |
| 15 | 0.27 | -5.2187 |
| 16 | 0.32 | -5.2051 |
| 17 | 0.24 | -5.2242 |
| 18 | 0.31 | -5.4982 |
| 19 | 0.30 | -5.2103 |
| 20 | 1.03 | -6.3337 |